A plane-wave DFT calculation with GGA-PBE was carried out for an optimized crystal structure of TlFeSCl2.

Lattice parameters (Å, degrees): 5.286 5.286 5.164 90.00 90.00 90.00
Space group P4/mmm (No. 123)
Unique sites:
Tl 0.000 0.000 0.000 x1
Fe 0.500 0.500 0.500 x1
S 0.000 0.000 0.500 x1
Cl 0.000 0.500 0.000 x2

Calculated values
**Uncorrected formation energy**: 11.11 kcal/mol of atoms
**Relative energy among the computed polymorphs**: 79.2 kJ/mol of atoms
**Calculated volume**: 144.28 Å³/cell


A plane-wave DFT calculation with GGA-PBE was carried out for an optimized crystal structure of TlFeSCl2.

Lattice parameters (Å, degrees): 5.028 5.028 4.252 90.00 90.00 90.00
Space group P4/mmm (No. 123)
Unique sites:
Tl 0.000 0.000 0.000 x1
Fe 0.500 0.500 0.500 x1
S 0.500 0.500 0.000 x1
Cl 0.000 0.500 0.500 x2

Calculated values
**Uncorrected formation energy**: -7.81 kcal/mol of atoms
**Relative energy among the computed polymorphs**: 0.0 kJ/mol of atoms
**Calculated volume**: 107.51 Å³/cell


Question: Look up the calculated volume of the first one.
Answer: 144.28 Å³/cell